# GGA-PBE Ca5Cu, relaxed
data_Ca5Cu
_symmetry_space_group_name_H-M 'C m m m'
_symmetry_Int_Tables_number 65
_symmetry_space_group_name_Hall '-C 2 2'
_cell_length_a 4.1875
_cell_length_b 16.9891
_cell_length_c 5.9121
_cell_angle_alpha 90.00
_cell_angle_beta 90.00
_cell_angle_gamma 90.00
loop_
_atom_site_label
_atom_site_type_symbol
_atom_site_fract_x
_atom_site_fract_y
_atom_site_fract_z
Ca1 Ca 0.0000 0.0000 0.0000
Ca2 Ca 0.0000 0.1363 0.5000
Ca3 Ca 0.0000 0.3323 0.0000
Cu1 Cu 0.0000 0.5000 0.5000
# formation energy from the elements = 0.100 eV per atom

# GGA-PBE Zr4CoSb, relaxed
data_Zr4CoSb
_symmetry_space_group_name_H-M 'P 1 21/m 1'
_symmetry_Int_Tables_number 11
_symmetry_space_group_name_Hall '-P 2yb'
_cell_length_a 5.6520
_cell_length_b 6.1236
_cell_length_c 7.5592
_cell_angle_alpha 90.00
_cell_angle_beta 97.01
_cell_angle_gamma 90.00
loop_
_atom_site_label
_atom_site_type_symbol
_atom_site_fract_x
_atom_site_fract_y
_atom_site_fract_z
Zr1 Zr 0.1064 0.2500 0.0542
Zr2 Zr 0.1390 0.7500 0.3528
Zr3 Zr 0.3798 0.5045 0.7819
Co1 Co 0.3226 0.7500 0.0508
Sb1 Sb 0.2820 0.2500 0.4379
# formation energy from raw total energies = -0.376 eV per atom

Number 1: Fermi-level density of states 6.9 states/eV/f.u.. Number 2: Fermi-level density of states 5.9 states/eV/f.u..